Crystalline La2Tb3TmSe6 at its relaxed geometry, computed with PBE.

a = 9.2818 Å, b = 9.2818 Å, c = 8.3848 Å
α = 102.95°, β = 102.95°, γ = 25.69°
Sites, in units of the cell vectors:
La: 0.1671 0.1671 0.3353
La: 0.8329 0.8329 0.6647
Tb: 0.1710 0.1710 0.8348
Tb: 0.5000 0.5000 0.5000
Tb: 0.8290 0.8290 0.1652
Tm: 0.5000 0.5000 0.0000
Se: 0.0054 0.0054 0.7587
Se: 0.3376 0.3376 0.4065
Se: 0.3375 0.3375 0.9296
Se: 0.6625 0.6625 0.0704
Se: 0.6624 0.6624 0.5935
Se: 0.9946 0.9946 0.2413

## Properties
Raw total energy (eV/atom): -5.918
Uncorrected formation energy (meV per atom): -1824
Total moment (μB/cell): 0.0